Entry 1:
VASP calculation (PBE) on a geometry-optimized Zr3TlH structure.

abc: 8.7891 8.7891 7.2859
angles: 100.18 100.18 20.97
With the nearest neighbours (Å) after each atom.
Sites, in units of the cell vectors:
Zr (0.0328, 0.0328, 0.2065)  2 H 2.06
Zr (0.2748, 0.2748, 0.6809)  1 H 2.06
Zr (0.4077, 0.4077, 0.4280)  1 H 2.05
Zr (0.5923, 0.5923, 0.5720)  1 H 2.05
Zr (0.7252, 0.7252, 0.3191)  1 H 2.06
Zr (0.9672, 0.9672, 0.7935)  2 H 2.06
Tl (0.1514, 0.1514, 0.9438)  7 Zr 3.05-3.23, 2 Tl 3.20, 2 H 3.26
Tl (0.8486, 0.8486, 0.0562)  7 Zr 3.05-3.23, 2 Tl 3.20, 2 H 3.26
H (0.3951, 0.3951, 0.7023)  4 Zr 2.05-2.06
H (0.6049, 0.6049, 0.2977)  4 Zr 2.05-2.06

Summary:
For the density of states at the Fermi level, the calculation gives 11.0 states/eV/cell. The calculation puts the total magnetization at 0.0 Bohr magnetons per cell. The calculation puts the energy at -63.72 eV per cell. As for the space group: C2/m (12).

Entry 2:
VASP calculation (PBE) on a geometry-optimized CuHPd3 structure.

abc: 5.5840 5.5840 4.8474
angles: 107.28 107.28 60.05
With the nearest neighbours (Å) after each atom.
Sites, in units of the cell vectors:
Cu (0.0000, 0.0000, 0.0000)  2 H 2.10
Cu (0.7579, 0.2421, 0.5000)  10 Pd 2.73-2.82, 2 Cu 2.78
H (0.1452, 0.5975, 0.7382)  5 Pd 1.91-2.00, 1 Cu 2.10
H (0.4025, 0.8548, 0.2618)  5 Pd 1.91-2.00, 1 Cu 2.10
Pd (0.0098, 0.4815, 0.9917)  1 H 2.00
Pd (0.2526, 0.7474, 0.5000)  2 H 1.97
Pd (0.2548, 0.2359, 0.4902)  2 H 1.91-1.96
Pd (0.5185, 0.9902, 0.0083)  1 H 2.00
Pd (0.5193, 0.4807, 0.0000)  2 H 1.99
Pd (0.7641, 0.7452, 0.5098)  2 H 1.91-1.96

Summary:
For the density of states at the Fermi level, the calculation gives 6.3 states/eV/cell. The calculation puts the total magnetization at 0.0 Bohr magnetons per cell. For the offset from the most stable computed form, the calculation gives 0.014 eV/atom. The calculation puts the energy at -46.73 eV per cell. As for the space group: C2 (5).

Entry 3:
VASP calculation (PBE) on a geometry-optimized SrMg3Cu8 structure.

abc: 5.1042 5.1042 8.4115
angles: 90.00 90.00 120.00
With the nearest neighbours (Å) after each atom.
Sites, in units of the cell vectors:
Sr (0.0000, 0.0000, 0.0000)  12 Cu 3.00-3.11, 4 Mg 3.25-3.33
Mg (0.0000, 0.0000, 0.3960)  12 Cu 2.77-3.05, 3 Mg 3.05
Mg (0.6667, 0.3333, 0.4914)  12 Cu 2.86-2.99, 4 Mg 2.91-3.05
Mg (0.6667, 0.3333, 0.8376)  9 Cu 2.89-3.05, 1 Mg 2.91
Cu (0.1671, 0.3341, 0.6753)  6 Cu 2.52-2.61, 1 Mg 2.77
Cu (0.1671, 0.8329, 0.6753)  6 Cu 2.52-2.61, 1 Mg 2.77
Cu (0.3333, 0.6667, 0.4321)  6 Cu 2.47-2.52
Cu (0.3333, 0.6667, 0.9313)  6 Cu 2.61-2.70
Cu (0.5026, 0.0051, 0.1985)  6 Cu 2.47-2.70
Cu (0.5026, 0.4974, 0.1985)  6 Cu 2.47-2.70
Cu (0.6659, 0.8329, 0.6753)  6 Cu 2.52-2.61, 1 Mg 2.77
Cu (0.9949, 0.4974, 0.1985)  6 Cu 2.47-2.70

Summary:
For the density of states at the Fermi level, the calculation gives 3.6 states/eV/cell. The calculation puts the total magnetization at 0.0 Bohr magnetons per cell. The calculation puts the energy at -40.26 eV per cell. The calculation puts the formation energy at -0.085 eV per atom. As for the space group: P3m1 (156).

Entry 4:
VASP calculation (PBE) on a geometry-optimized K2FeCl structure.

abc: 4.2944 4.2944 9.3145
angles: 103.40 103.40 58.72
With the nearest neighbours (Å) after each atom.
Sites, in units of the cell vectors:
K (0.2407, 0.2407, 0.2159)  3 Cl 3.13-3.14
K (0.7593, 0.7593, 0.7841)  3 Cl 3.13-3.14
Fe (0.0000, 0.0000, 0.5000)  6 K 3.53-3.58
Cl (0.5000, 0.5000, 0.0000)  6 K 3.13-3.14

Summary:
For the density of states at the Fermi level, the calculation gives 2.2 states/eV/cell. The calculation puts the total magnetization at 3.1 Bohr magnetons per cell. For the offset from the most stable computed form, the calculation gives 0.035 eV/atom. The calculation puts the energy at -13.01 eV per cell. As for the space group: C2/m (12). For the uncorrected formation energy, the calculation gives -48 kJ/mol of formula units.

Entry 5:
VASP calculation (PBE) on a geometry-optimized Pm7DyIn4 structure.

abc: 7.9024 7.9024 10.6711
angles: 120.94 120.94 43.01
With the nearest neighbours (Å) after each atom.
Sites, in units of the cell vectors:
Pm (0.0000, 0.0000, 0.0000)  2 Dy 2.90, 4 In 3.05-3.18
Pm (0.2213, 0.2213, 0.6613)  4 In 3.06-3.22
Pm (0.2940, 0.2940, 0.1195)  4 Pm 3.38-3.77, 4 In 3.43-3.52
Pm (0.4371, 0.4371, 0.6071)  5 In 3.25-3.61, 2 Pm 3.38-3.53
Pm (0.5629, 0.5629, 0.3929)  5 In 3.25-3.61, 2 Pm 3.38-3.53
Pm (0.7060, 0.7060, 0.8805)  4 Pm 3.38-3.77, 4 In 3.43-3.52
Pm (0.7787, 0.7787, 0.3387)  4 In 3.06-3.22
Dy (0.5000, 0.5000, 0.0000)  2 Pm 2.90
In (0.0574, 0.0574, 0.7527)  6 Pm 3.06-3.43, 1 In 3.10
In (0.1811, 0.1811, 0.3334)  5 Pm 3.05-3.25, 1 In 3.10
In (0.8189, 0.8189, 0.6666)  5 Pm 3.05-3.25, 1 In 3.10
In (0.9426, 0.9426, 0.2473)  6 Pm 3.06-3.43, 1 In 3.10

Summary:
For the density of states at the Fermi level, the calculation gives 13.7 states/eV/cell. The calculation puts the total magnetization at 0.0 Bohr magnetons per cell. The calculation puts the energy at -50.41 eV per cell. The calculation puts the formation energy at -0.133 eV per atom. As for the space group: C2/m (12).

Entry 6:
VASP calculation (PBE) on a geometry-optimized PaBH structure.

abc: 3.9667 3.9667 3.9667
angles: 125.47 125.47 80.77
With the nearest neighbours (Å) after each atom.
Sites, in units of the cell vectors:
Pa (0.0000, 0.0000, 0.0000)  1 H 2.32, 1 B 2.45
B (0.4050, 0.4050, 0.0000)  1 H 1.27
H (0.6153, 0.6153, 0.0000)  1 B 1.27

Summary:
For the density of states at the Fermi level, the calculation gives 3.9 states/eV/cell. The calculation puts the total magnetization at 0.0 Bohr magnetons per cell. For the offset from the most stable computed form, the calculation gives 0.487 eV/atom. The calculation puts the energy at -19.42 eV per cell. As for the space group: I4mm (107).

Entry 7:
VASP calculation (PBE) on a geometry-optimized LiPa4BiN8 structure.

abc: 6.5959 6.5959 6.5959
angles: 65.68 65.68 65.68
With the nearest neighbours (Å) after each atom.
Sites, in units of the cell vectors:
Li (0.0000, 0.0000, 0.0000)  6 N 2.42-2.45
Pa (0.4977, 0.9984, 0.9984)  6 N 2.21-2.41
Pa (0.6018, 0.6018, 0.6018)  4 N 2.20-2.31
Pa (0.9984, 0.4977, 0.9984)  6 N 2.21-2.41
Pa (0.9984, 0.9984, 0.4977)  6 N 2.21-2.41
Bi (0.3819, 0.3819, 0.3819)  4 N 2.29-2.39
N (0.2257, 0.7501, 0.7501)  3 Pa 2.20-2.34, 1 Li 2.42
N (0.2336, 0.2336, 0.2336)  1 Bi 2.29, 3 Pa 2.32
N (0.2539, 0.2539, 0.7967)  2 Pa 2.21, 1 Bi 2.39, 1 Li 2.45
N (0.2539, 0.7967, 0.2539)  2 Pa 2.21, 1 Bi 2.39, 1 Li 2.45
N (0.7501, 0.2257, 0.7501)  3 Pa 2.20-2.34, 1 Li 2.42
N (0.7501, 0.7501, 0.2257)  3 Pa 2.20-2.34, 1 Li 2.42
N (0.7513, 0.7513, 0.7513)  4 Pa 2.31-2.41
N (0.7967, 0.2539, 0.2539)  2 Pa 2.21, 1 Bi 2.39, 1 Li 2.45

Summary:
The calculation puts the total magnetization at 0.0 Bohr magnetons per cell. The calculation puts the energy at -125.72 eV per cell. As for the space group: R3m (160). For the uncorrected formation energy, the calculation gives -1479 kJ/mol of formula units.

Entry 8:
VASP calculation (PBE) on a geometry-optimized HoZrFeCo structure.

abc: 4.5839 4.5839 4.5839
angles: 60.00 60.00 60.00
With the nearest neighbours (Å) after each atom.
Sites, in units of the cell vectors:
Ho (0.0000, 0.0000, 0.0000)  4 Fe 2.81, 4 Co 2.81
Zr (0.5000, 0.5000, 0.5000)  4 Fe 2.81, 4 Co 2.81
Fe (0.2500, 0.2500, 0.2500)  4 Zr 2.81, 4 Ho 2.81
Co (0.7500, 0.7500, 0.7500)  4 Zr 2.81, 4 Ho 2.81

Summary:
For the density of states at the Fermi level, the calculation gives 1.9 states/eV/cell. The calculation puts the total magnetization at 0.6 Bohr magnetons per cell. The calculation puts the energy at -29.10 eV per cell. The calculation puts the formation energy at -0.101 eV per atom. As for the space group: F-43m (216).

> Among the records above, which one has the lowest energy?

LiPa4BiN8

> energy of number 8 (HoZrFeCo)?

-29.10 eV per cell